[1]
VASP calculation (GGA-PBE) on a relaxed structure of Li2InPt.

Lattice parameters (Å, degrees): 3.2770 3.2770 5.8419 90.00 90.00 90.00
Last column: nearest neighbours and their distance in Å.
Space group P4/mmm (No. 123)
Unique sites:
Li (0.0000, 0.0000, 0.2125) (multiplicity 2)  1 Li 2.48, 4 Pt 2.63
In (0.5000, 0.5000, 0.5000) (multiplicity 1)  8 Li 2.86, 2 Pt 2.92
Pt (0.5000, 0.5000, 0.0000) (multiplicity 1)  8 Li 2.63, 2 In 2.92

[2]
VASP calculation (GGA-PBE) on a relaxed structure of Li5InPt6.

Lattice parameters (Å, degrees): 3.9517 7.5578 11.7533 90.00 90.00 90.00
Last column: nearest neighbours and their distance in Å.
Space group Immm (No. 71)
Unique sites:
Li (0.0000, 0.0000, 0.0000) (multiplicity 2)  8 Pt 2.70-2.74, 4 Li 2.79
Li (0.0000, 0.0000, 0.3279) (multiplicity 4)  8 Pt 2.64-2.81, 2 Li 2.73, 2 In 2.83
Li (0.0000, 0.5000, 0.3321) (multiplicity 4)  8 Pt 2.69-2.72, 4 Li 2.73-2.79
In (0.0000, 0.5000, 0.0000) (multiplicity 2)  8 Pt 2.76-2.77, 4 Li 2.83
Pt (0.0000, 0.2482, 0.1703) (multiplicity 8)  7 Li 2.64-2.74, 4 Pt 2.72-2.81, 1 In 2.76
Pt (0.0000, 0.2571, 0.5000) (multiplicity 4)  6 Li 2.70-2.81, 2 In 2.77, 4 Pt 2.81

Taking the records one at a time from the top gives formation energy from the elements values of -0.435; -0.542 eV per atom.
Taking the records one at a time from the top gives mass density values of 8.6; 12.5 g/cm³.